(1)
DFT (GGA-PBE) results for crystalline MnTcCl2 at its relaxed geometry.

- Distance to the lowest polymorph of the same formula: 138 meV per atom
- Symmetry: No. 99
- D(E_F): 0.276 states/eV/atom
- DFT total energy: -5.87 eV/atom

Structure (POSCAR):
```
MnTcCl2
1.0
-1.699 2.489 -0.131
-0.485 -0.172 2.972
6.796 4.711 1.381
Mn Cl Tc
1 2 1
direct
0.000 0.000 0.525
0.500 0.500 0.343
0.000 0.000 0.915
0.500 0.500 0.717
```

(2)
DFT (GGA-PBE) results for crystalline La3NdZn at its relaxed geometry.

- Distance to the lowest polymorph of the same formula: 0 meV per atom
- Calculated formation energy: -0.113 eV per atom
- Symmetry: No. 2
- D(E_F): 1.307 states/eV/atom
- DFT total energy: -4.28 eV/atom

Structure (POSCAR):
```
La3NdZn
1.0
-2.598 -0.458 -2.731
-4.073 -6.077 4.895
-3.158 8.734 4.178
La Nd Zn
6 2 2
direct
0.414 0.813 0.084
0.416 0.411 0.092
0.602 0.492 0.458
0.218 0.294 0.692
0.229 0.733 0.717
0.612 0.931 0.483
0.821 0.076 0.903
0.009 0.149 0.273
0.018 0.680 0.293
0.813 0.544 0.882
```

(3)
DFT (GGA-PBE) results for crystalline NbCr2Co at its relaxed geometry.

- Distance to the lowest polymorph of the same formula: 388 meV per atom
- Calculated formation energy: 0.600 eV per atom
- Symmetry: No. 122
- D(E_F): 1.178 states/eV/atom
- DFT total energy: -8.51 eV/atom

Structure (POSCAR):
```
NbCr2Co
1.0
-5.465 -3.652 1.612
3.196 -5.640 -1.943
-0.278 -4.936 2.081
Cr Co Nb
4 2 2
direct
0.156 0.625 0.250
0.594 0.125 0.250
0.875 0.844 0.750
0.375 0.406 0.750
0.250 0.750 0.500
0.500 0.500 0.000
0.750 0.250 0.500
0.000 0.000 0.000
```

(4)
DFT (GGA-PBE) results for crystalline AcPu2Cu at its relaxed geometry.

- Calculated formation energy: 0.226 eV per atom
- Symmetry: No. 123
- D(E_F): 4.119 states/eV/atom
- DFT total energy: -8.99 eV/atom

Structure (POSCAR):
```
AcPu2Cu
1.0
3.663 0.000 0.000
0.000 3.663 0.000
0.000 0.000 8.385
Ac Pu Cu
1 2 1
direct
0.500 0.500 0.500
0.000 0.000 0.816
0.000 0.000 0.184
0.500 0.500 0.000
```

> The highest D(E_F) belongs to which entry?

AcPu2Cu

Repeat the third record exactly.
DFT (GGA-PBE) results for crystalline NbCr2Co at its relaxed geometry.

- Distance to the lowest polymorph of the same formula: 388 meV per atom
- Calculated formation energy: 0.600 eV per atom
- Symmetry: No. 122
- D(E_F): 1.178 states/eV/atom
- DFT total energy: -8.51 eV/atom

Structure (POSCAR):
```
NbCr2Co
1.0
-5.465 -3.652 1.612
3.196 -5.640 -1.943
-0.278 -4.936 2.081
Cr Co Nb
4 2 2
direct
0.156 0.625 0.250
0.594 0.125 0.250
0.875 0.844 0.750
0.375 0.406 0.750
0.250 0.750 0.500
0.500 0.500 0.000
0.750 0.250 0.500
0.000 0.000 0.000
```

> Which value of DFT total energy does entry 4 give?

-8.99 eV/atom